## SrZr2Se (meta-GGA SCAN)

Data for a crystal of SrZr2Se relaxed with PBEsol.

Computed properties:
D(E_F)	3.08	states/eV/cell
formation energy from raw total energies	-0.86	eV per formula unit

a b c (Å): 3.677 5.260 5.173
angles (deg): 90.00 96.47 90.00
Fractional coordinates of all 4 atoms:
1 Sr 0.000 0.000 0.000
2 Zr 0.396 0.500 0.725
3 Zr 0.604 0.500 0.275
4 Se 0.500 0.000 0.500

---

## SiHg2Te (meta-GGA SCAN)

Data for a crystal of SiHg2Te relaxed with PBEsol.

Computed properties:
D(E_F)	1.62	states/eV/cell
energy above the most stable polymorph in this dataset	110	meV per atom
formation energy from raw total energies	2.01	eV per formula unit

a b c (Å): 10.882 10.882 10.882
angles (deg): 16.64 16.64 16.64
Fractional coordinates of all 4 atoms:
1 Si 0.000 0.000 0.000
2 Hg 0.260 0.260 0.260
3 Hg 0.740 0.740 0.740
4 Te 0.500 0.500 0.500

---

## LaNi3Bi (meta-GGA SCAN)

Data for a crystal of LaNi3Bi relaxed with PBEsol.

Computed properties:
D(E_F)	1.43	states/eV/cell
DFT formation energy	1.776	eV/f.u.

a b c (Å): 4.736 4.736 4.736
angles (deg): 90.00 90.00 90.00
Fractional coordinates of all 5 atoms:
1 La 0.000 0.000 0.000
2 Ni 0.000 0.500 0.500
3 Ni 0.500 0.000 0.500
4 Ni 0.500 0.500 0.000
5 Bi 0.500 0.500 0.500

---

## BaScTl (meta-GGA SCAN)

Data for a crystal of BaScTl relaxed with PBEsol.

Computed properties:
D(E_F)	0.33	states/eV/cell
DFT formation energy	-1.530	eV/f.u.
energy above the most stable polymorph in this dataset	0	meV per atom

a b c (Å): 5.042 5.042 7.802
angles (deg): 90.00 90.00 90.00
Fractional coordinates of all 6 atoms:
1 Ba 0.250 0.250 0.142
2 Ba 0.750 0.750 0.858
3 Sc 0.250 0.750 0.500
4 Sc 0.750 0.250 0.500
5 Tl 0.250 0.250 0.695
6 Tl 0.750 0.750 0.305

---

## RbCaH6N3 (meta-GGA SCAN)

Data for a crystal of RbCaH6N3 relaxed with PBEsol.

Computed properties:
D(E_F)	0.00	states/eV/cell
calculated total energy	-7.790	eV per atom

a b c (Å): 6.767 6.767 6.602
angles (deg): 100.65 100.65 117.89
Fractional coordinates of all 22 atoms:
1 Rb 0.212 0.788 0.750
2 Rb 0.788 0.212 0.250
3 Ca 0.500 0.500 0.000
4 Ca 0.500 0.500 0.500
5 H 0.023 0.298 0.691
6 H 0.136 0.152 0.604
7 H 0.152 0.136 0.104
8 H 0.164 0.599 0.171
9 H 0.298 0.023 0.191
10 H 0.401 0.836 0.329
11 H 0.599 0.164 0.671
12 H 0.702 0.977 0.809
13 H 0.836 0.401 0.829
14 H 0.848 0.864 0.896
15 H 0.864 0.848 0.396
16 H 0.977 0.702 0.309
17 N 0.173 0.323 0.655
18 N 0.323 0.173 0.155
19 N 0.338 0.662 0.250
20 N 0.662 0.338 0.750
21 N 0.677 0.827 0.845
22 N 0.827 0.677 0.345

---

## Ta3BeH (meta-GGA SCAN)

Data for a crystal of Ta3BeH relaxed with PBEsol.

Computed properties:
D(E_F)	4.14	states/eV/cell
calculated total energy	-41.428	eV per atom

a b c (Å): 4.039 4.039 4.039
angles (deg): 90.00 90.00 90.00
Fractional coordinates of all 5 atoms:
1 Ta 0.000 0.000 0.500
2 Ta 0.000 0.500 0.000
3 Ta 0.500 0.000 0.000
4 Be 0.500 0.500 0.500
5 H 0.000 0.000 0.000

---

## AsIrSe2 (meta-GGA SCAN)

Data for a crystal of AsIrSe2 relaxed with PBEsol.

Computed properties:
D(E_F)	2.11	states/eV/cell
formation energy from raw total energies	-0.08	eV per formula unit

a b c (Å): 4.774 4.774 3.614
angles (deg): 90.00 90.00 116.42
Fractional coordinates of all 4 atoms:
1 As 0.000 0.000 0.000
2 Ir 0.500 0.500 0.000
3 Se 0.291 0.709 0.500
4 Se 0.709 0.291 0.500

---

## P3PbAu (meta-GGA SCAN)

Data for a crystal of P3PbAu relaxed with PBEsol.

Computed properties:
D(E_F)	4.70	states/eV/cell
DFT formation energy	4.587	eV/f.u.
energy above the most stable polymorph in this dataset	0	meV per atom

a b c (Å): 4.822 4.822 4.822
angles (deg): 90.00 90.00 90.00
Fractional coordinates of all 5 atoms:
1 P 0.000 0.000 0.500
2 P 0.000 0.500 0.000
3 P 0.500 0.000 0.000
4 Pb 0.500 0.500 0.500
5 Au 0.000 0.000 0.000

---

## InBrO2 (meta-GGA SCAN)

Data for a crystal of InBrO2 relaxed with PBEsol.

Computed properties:
D(E_F)	0.85	states/eV/cell
energy above the most stable polymorph in this dataset	0	meV per atom
formation energy from raw total energies	-3.98	eV per formula unit

a b c (Å): 6.465 6.465 6.465
angles (deg): 30.78 30.78 30.78
Fractional coordinates of all 4 atoms:
1 In 0.000 0.000 0.000
2 Br 0.500 0.500 0.500
3 O 0.387 0.387 0.387
4 O 0.613 0.613 0.613

---

## LiZr2Br (meta-GGA SCAN)

Data for a crystal of LiZr2Br relaxed with PBEsol.

Computed properties:
D(E_F)	1.79	states/eV/cell
energy above the most stable polymorph in this dataset	0	meV per atom
formation energy from raw total energies	-1.69	eV per formula unit

a b c (Å): 9.395 9.395 9.395
angles (deg): 20.44 20.44 20.44
Fractional coordinates of all 4 atoms:
1 Li 0.000 0.000 0.000
2 Zr 0.240 0.240 0.240
3 Zr 0.487 0.487 0.487
4 Br 0.747 0.747 0.747

---

## TiTlIN2 (meta-GGA SCAN)

Data for a crystal of TiTlIN2 relaxed with PBEsol.

Computed properties:
D(E_F)	7.01	states/eV/cell
energy above the most stable polymorph in this dataset	1366	meV per atom
formation energy from raw total energies	8.60	eV per formula unit

a b c (Å): 4.181 4.181 6.096
angles (deg): 90.00 90.00 90.00
Fractional coordinates of all 5 atoms:
1 Ti 0.000 0.000 0.000
2 Tl 0.500 0.500 0.500
3 I 0.500 0.500 0.000
4 N 0.000 0.500 0.500
5 N 0.500 0.000 0.500

---

## Cu3BBr (meta-GGA SCAN)

Data for a crystal of Cu3BBr relaxed with PBEsol.

Computed properties:
D(E_F)	5.47	states/eV/cell
formation energy from raw total energies	3.08	eV per formula unit

a b c (Å): 4.080 4.080 4.080
angles (deg): 90.00 90.00 90.00
Fractional coordinates of all 5 atoms:
1 Cu 0.000 0.000 0.500
2 Cu 0.000 0.500 0.000
3 Cu 0.500 0.000 0.000
4 B 0.000 0.000 0.000
5 Br 0.500 0.500 0.500

---

## Be2Tc2Os (meta-GGA SCAN)

Data for a crystal of Be2Tc2Os relaxed with PBEsol.

Computed properties:
D(E_F)	9.18	states/eV/cell
DFT formation energy	-1.259	eV/f.u.

a b c (Å): 6.143 6.143 2.972
angles (deg): 90.00 90.00 90.00
Fractional coordinates of all 10 atoms:
1 Be 0.123 0.377 0.000
2 Be 0.377 0.877 0.000
3 Be 0.623 0.123 0.000
4 Be 0.877 0.623 0.000
5 Tc 0.170 0.670 0.500
6 Tc 0.330 0.170 0.500
7 Tc 0.670 0.830 0.500
8 Tc 0.830 0.330 0.500
9 Os 0.000 0.000 0.000
10 Os 0.500 0.500 0.000

---

## Ba3InCo (meta-GGA SCAN)

Data for a crystal of Ba3InCo relaxed with PBEsol.

Computed properties:
D(E_F)	10.75	states/eV/cell
DFT formation energy	3.219	eV/f.u.

a b c (Å): 6.496 6.496 6.496
angles (deg): 90.00 90.00 90.00
Fractional coordinates of all 5 atoms:
1 Ba 0.000 0.000 0.500
2 Ba 0.000 0.500 0.000
3 Ba 0.500 0.000 0.000
4 In 0.000 0.000 0.000
5 Co 0.500 0.500 0.500

---

## Cs2YAuS (meta-GGA SCAN)

Data for a crystal of Cs2YAuS relaxed with PBEsol.

Computed properties:
D(E_F)	4.63	states/eV/cell
formation energy from raw total energies	0.91	eV per formula unit

a b c (Å): 6.972 6.972 4.545
angles (deg): 90.00 90.00 90.00
Fractional coordinates of all 5 atoms:
1 Cs 0.000 0.500 0.000
2 Cs 0.500 0.000 0.000
3 Y 0.000 0.000 0.500
4 Au 0.500 0.500 0.000
5 S 0.500 0.500 0.500

---

## CaLaW2Au (meta-GGA SCAN)

Data for a crystal of CaLaW2Au relaxed with PBEsol.

Computed properties:
D(E_F)	4.82	states/eV/cell
DFT formation energy	12.700	eV/f.u.

a b c (Å): 4.683 4.683 5.102
angles (deg): 90.00 90.00 90.00
Fractional coordinates of all 5 atoms:
1 Ca 0.000 0.000 0.000
2 La 0.000 0.000 0.500
3 W 0.000 0.500 0.000
4 W 0.500 0.000 0.000
5 Au 0.500 0.500 0.500

---

## KCdF3 (meta-GGA SCAN)

Data for a crystal of KCdF3 relaxed with PBEsol.

Computed properties:
D(E_F)	0.00	states/eV/cell
formation energy from raw total energies	-13.05	eV per formula unit

a b c (Å): 4.393 4.393 4.393
angles (deg): 90.00 90.00 90.00
Fractional coordinates of all 5 atoms:
1 K 0.000 0.000 0.000
2 Cd 0.500 0.500 0.500
3 F 0.000 0.500 0.500
4 F 0.500 0.000 0.500
5 F 0.500 0.500 0.000

---

## Li3TiNi2O6 (meta-GGA SCAN)

Data for a crystal of Li3TiNi2O6 relaxed with PBEsol.

Computed properties:
D(E_F)	3.68	states/eV/cell
energy above the most stable polymorph in this dataset	5	meV per atom
formation energy from raw total energies	-26.01	eV per formula unit

a b c (Å): 6.533 6.533 5.761
angles (deg): 102.98 102.98 25.49
Fractional coordinates of all 12 atoms:
1 Li 0.000 0.000 0.000
2 Li 0.325 0.325 0.674
3 Li 0.675 0.675 0.326
4 Ti 0.000 0.000 0.500
5 Ni 0.333 0.333 0.165
6 Ni 0.667 0.667 0.835
7 O 0.159 0.159 0.593
8 O 0.169 0.169 0.060
9 O 0.495 0.495 0.729
10 O 0.505 0.505 0.271
11 O 0.831 0.831 0.940
12 O 0.841 0.841 0.407

---

## LiZr2FeTe (meta-GGA SCAN)

Data for a crystal of LiZr2FeTe relaxed with PBEsol.

Computed properties:
D(E_F)	4.29	states/eV/cell
formation energy from raw total energies	0.42	eV per formula unit

a b c (Å): 4.648 4.648 4.643
angles (deg): 90.00 90.00 90.00
Fractional coordinates of all 5 atoms:
1 Li 0.000 0.000 0.000
2 Zr 0.000 0.500 0.500
3 Zr 0.500 0.000 0.500
4 Fe 0.000 0.000 0.500
5 Te 0.500 0.500 0.000

---

## K3Sr (meta-GGA SCAN)

Data for a crystal of K3Sr relaxed with PBEsol.

Computed properties:
D(E_F)	3.38	states/eV/cell
DFT formation energy	0.288	eV/f.u.
energy above the most stable polymorph in this dataset	24	meV per atom

a b c (Å): 4.310 4.310 13.733
angles (deg): 90.00 90.00 90.00
Fractional coordinates of all 4 atoms:
1 K 0.000 0.000 0.000
2 K 0.500 0.500 0.260
3 K 0.500 0.500 0.740
4 Sr 0.000 0.000 0.500

---

## TcSbPt2 (meta-GGA SCAN)

Data for a crystal of TcSbPt2 relaxed with PBEsol.

Computed properties:
D(E_F)	3.36	states/eV/cell
formation energy from raw total energies	0.31	eV per formula unit

a b c (Å): 4.852 4.852 2.981
angles (deg): 90.00 90.00 112.69
Fractional coordinates of all 4 atoms:
1 Tc 0.000 0.000 0.000
2 Sb 0.500 0.500 0.000
3 Pt 0.000 0.500 0.500
4 Pt 0.500 0.000 0.500

---

## Y2WAu (meta-GGA SCAN)

Data for a crystal of Y2WAu relaxed with PBEsol.

Computed properties:
D(E_F)	4.25	states/eV/cell
DFT formation energy	0.931	eV/f.u.
energy above the most stable polymorph in this dataset	0	meV per atom

a b c (Å): 9.519 9.519 9.519
angles (deg): 19.83 19.83 19.83
Fractional coordinates of all 4 atoms:
1 Y 0.249 0.249 0.249
2 Y 0.751 0.751 0.751
3 W 0.500 0.500 0.500
4 Au 0.000 0.000 0.000

---

## Zr3Be (meta-GGA SCAN)

Data for a crystal of Zr3Be relaxed with PBEsol.

Computed properties:
D(E_F)	3.81	states/eV/cell
DFT formation energy	0.930	eV/f.u.
energy above the most stable polymorph in this dataset	231	meV per atom

a b c (Å): 4.732 4.732 4.732
angles (deg): 60.00 60.00 60.00
Fractional coordinates of all 4 atoms:
1 Zr 0.000 0.000 0.000
2 Zr 0.250 0.250 0.250
3 Zr 0.750 0.750 0.750
4 Be 0.500 0.500 0.500

---

## MgCoMo2 (meta-GGA SCAN)

Data for a crystal of MgCoMo2 relaxed with PBEsol.

Computed properties:
D(E_F)	3.10	states/eV/cell
DFT formation energy	1.777	eV/f.u.

a b c (Å): 9.270 9.270 9.270
angles (deg): 16.92 16.92 16.92
Fractional coordinates of all 4 atoms:
1 Mg 0.000 0.000 0.000
2 Co 0.500 0.500 0.500
3 Mo 0.241 0.241 0.241
4 Mo 0.759 0.759 0.759

---

## PuMnRh2 (meta-GGA SCAN)

Data for a crystal of PuMnRh2 relaxed with PBEsol.

Computed properties:
D(E_F)	4.56	states/eV/cell
DFT formation energy	-1.491	eV/f.u.

a b c (Å): 4.502 4.502 4.502
angles (deg): 119.45 119.45 90.95
Fractional coordinates of all 4 atoms:
1 Pu 0.000 0.000 0.000
2 Mn 0.500 0.500 0.000
3 Rh 0.250 0.750 0.500
4 Rh 0.750 0.250 0.500

---

## BaFe2Ir (meta-GGA SCAN)

Data for a crystal of BaFe2Ir relaxed with PBEsol.

Computed properties:
D(E_F)	2.02	states/eV/cell
DFT formation energy	1.534	eV/f.u.

a b c (Å): 3.109 3.109 7.517
angles (deg): 90.00 90.00 90.00
Fractional coordinates of all 4 atoms:
1 Ba 0.000 0.000 0.000
2 Fe 0.000 0.000 0.498
3 Fe 0.500 0.500 0.346
4 Ir 0.500 0.500 0.672

---

## CsSr2Tl2 (meta-GGA SCAN)

Data for a crystal of CsSr2Tl2 relaxed with PBEsol.

Computed properties:
D(E_F)	2.06	states/eV/cell
DFT formation energy	-1.540	eV/f.u.
energy above the most stable polymorph in this dataset	0	meV per atom

a b c (Å): 7.105 7.105 7.105
angles (deg): 128.77 128.77 75.39
Fractional coordinates of all 5 atoms:
1 Cs 0.000 0.000 0.000
2 Sr 0.250 0.750 0.500
3 Sr 0.750 0.250 0.500
4 Tl 0.375 0.375 0.000
5 Tl 0.625 0.625 0.000

---

## In2OsRh (meta-GGA SCAN)

Data for a crystal of In2OsRh relaxed with PBEsol.

Computed properties:
D(E_F)	1.90	states/eV/cell
DFT formation energy	0.419	eV/f.u.
energy above the most stable polymorph in this dataset	0	meV per atom

a b c (Å): 5.322 5.322 4.758
angles (deg): 111.09 111.09 32.17
Fractional coordinates of all 4 atoms:
1 In 0.000 0.000 0.000
2 In 0.220 0.220 0.600
3 Os 0.752 0.752 0.112
4 Rh 0.467 0.467 0.488

---

Summary of M_tot in μB/f.u.
0.00; 0.00; 0.00; 0.00; 0.00; 0.00; 0.00; 0.00; 0.00; 0.00; 3.73; 0.00; 0.00; 1.60; 1.81; 0.00; 0.00; 3.00; 0.00; 0.08; 0.00; 0.75; 0.00; 1.44; 9.19; 6.27; 0.00; 0.00
(order as listed above)